This record from the Alexandria database describes TcHg2SI after structural relaxation. The functional is PBE.

Unit cell a=5.4783 b=5.0020 c=5.4783 alpha=90.00 beta=90.00 gamma=90.00
Fractional coordinates of all 5 atoms:
I 0.0000 0.5000 0.0000
S 0.5000 0.5000 0.5000
Hg 0.0000 0.0000 0.5000
Hg 0.5000 0.0000 0.0000
Tc 0.0000 0.0000 0.0000

**ΔE_f (raw)**: 844.7 meV per atom
**D(E_F)**: 1.1605 states/eV/atom
**Theoretical density**: 7.280 g cm⁻³
**Total magnetic moment**: 2.3 μB per cell

***

This record from the Alexandria database describes TbGe3Ru after structural relaxation. The functional is PBE.

Unit cell a=5.7078 b=5.6993 c=6.1336 alpha=90.00 beta=90.00 gamma=90.00
Fractional coordinates of all 10 atoms:
Tb 0.4202 0.3169 0.7007
Tb 0.9203 0.0359 0.2007
Ge 0.3726 0.2618 0.2009
Ge 0.4634 0.8507 0.9669
Ge 0.9636 0.5020 0.4668
Ge 0.8726 0.0912 0.7009
Ge 0.9636 0.5020 0.9346
Ge 0.4636 0.8506 0.4347
Ru 0.1581 0.7921 0.7007
Ru 0.6583 0.5608 0.2007

**D(E_F)**: 0.5479 states/eV/atom
**ΔE_f**: -0.44 eV/atom
**Theoretical density**: 7.955 g cm⁻³
**Total magnetic moment**: 0.0 μB per cell

***

This record from the Alexandria database describes MgSi2PbO6 after structural relaxation. The functional is PBE.

Unit cell a=5.4001 b=6.8606 c=6.8606 alpha=85.83 beta=78.87 gamma=78.87
Fractional coordinates of all 20 atoms:
Mg 0.2500 0.4035 0.5965
Mg 0.7500 0.5965 0.4035
Si 0.2859 0.8714 0.6919
Si 0.2141 0.3081 0.1286
Si 0.7141 0.1286 0.3081
Si 0.7859 0.6919 0.8714
Pb 0.2500 0.7938 0.2062
Pb 0.7500 0.2062 0.7938
O 0.2107 0.0986 0.6125
O 0.2893 0.3875 0.9014
O 0.7893 0.9014 0.3875
O 0.7107 0.6125 0.0986
O 0.3656 0.6929 0.5327
O 0.1344 0.4673 0.3071
O 0.6344 0.3071 0.4673
O 0.8656 0.5327 0.6929
O 0.0221 0.8230 0.8520
O 0.4779 0.1480 0.1770
O 0.9779 0.1770 0.1480
O 0.5221 0.8520 0.8230

**ΔE_f (raw)**: -2479.6 meV per atom
**D(E_F)**: 0.0000 states/eV/atom
**Theoretical density**: 5.211 g cm⁻³
**Total magnetic moment**: 0.0 μB per cell

***

This record from the Alexandria database describes Ho3GaRh2 after structural relaxation. The functional is PBE.

Unit cell a=3.4678 b=3.4678 c=10.3962 alpha=90.00 beta=90.00 gamma=90.00
Fractional coordinates of all 6 atoms:
Ho 0.0000 0.0000 0.0000
Ho 0.0000 0.0000 0.6804
Ho 0.0000 0.0000 0.3196
Ga 0.5000 0.5000 0.5000
Rh 0.5000 0.5000 0.8355
Rh 0.5000 0.5000 0.1645

**D(E_F)**: 0.6200 states/eV/atom
**ΔE_f**: -0.80 eV/atom
**Theoretical density**: 10.232 g cm⁻³
**Total magnetic moment**: 0.0 μB per cell

***

This record from the Alexandria database describes Pu2ZnGa9 after structural relaxation. The functional is PBE.

Unit cell a=5.7421 b=5.7421 c=9.0082 alpha=71.41 beta=71.41 gamma=60.00
Fractional coordinates of all 12 atoms:
Pu 0.8617 0.8617 0.4150
Pu 0.1383 0.1383 0.5850
Zn 0.0000 0.0000 0.0000
Ga 0.6621 0.6621 0.0136
Ga 0.3379 0.3379 0.9864
Ga 0.5000 0.5000 0.5000
Ga 0.4063 0.4063 0.2548
Ga 0.9325 0.4063 0.2548
Ga 0.4063 0.9325 0.2548
Ga 0.5937 0.5937 0.7452
Ga 0.5937 0.0675 0.7452
Ga 0.0675 0.5937 0.7452

**D(E_F)**: 1.6990 states/eV/atom
**ΔE_f**: -0.10 eV/atom
**Theoretical density**: 8.199 g cm⁻³
**Total magnetic moment**: 11.4 μB per cell

***

This record from the Alexandria database describes Cs2TeHI6 after structural relaxation. The functional is PBE.

Unit cell a=9.3083 b=9.3083 c=8.3910 alpha=56.31 beta=56.31 gamma=90.00
Fractional coordinates of all 10 atoms:
Cs 0.7500 0.2500 0.5000
Cs 0.2500 0.7500 0.5000
I 0.3155 0.3155 0.3691
I 0.6845 0.6845 0.6309
I 0.2252 0.2252 0.0000
I 0.7748 0.7748 0.0000
I 0.7748 0.2252 0.0000
I 0.2252 0.7748 0.0000
Te 0.0000 0.0000 0.0000
H 0.5000 0.5000 0.0000

**Electronic total energy**: -2.413 eV/atom
**D(E_F)**: 0.1513 states/eV/atom
**Theoretical density**: 4.256 g cm⁻³
**Total magnetic moment**: 0.0 μB per cell

***

This record from the Alexandria database describes Cs2YSeBr6 after structural relaxation. The functional is PBE.

Unit cell a=7.9226 b=7.9226 c=8.6388 alpha=62.71 beta=62.71 gamma=90.00
Fractional coordinates of all 10 atoms:
Cs 0.7500 0.2500 0.5000
Cs 0.2500 0.7500 0.5000
Y 0.0000 0.0000 0.0000
Se 0.5000 0.5000 0.0000
Br 0.2114 0.2114 0.5771
Br 0.7886 0.7886 0.4229
Br 0.2509 0.2509 0.0000
Br 0.7491 0.7491 0.0000
Br 0.7491 0.2509 0.0000
Br 0.2509 0.7491 0.0000

**ΔE_f (raw)**: -1319.2 meV per atom
**D(E_F)**: 0.2345 states/eV/atom
**Theoretical density**: 3.673 g cm⁻³
**Total magnetic moment**: 1.0 μB per cell

***

This record from the Alexandria database describes LaZrIn2 after structural relaxation. The functional is PBE.

Unit cell a=5.7169 b=5.7169 c=3.2049 alpha=90.00 beta=90.00 gamma=90.00
Fractional coordinates of all 4 atoms:
In 0.0000 0.0000 0.0000
In 0.5000 0.5000 0.0000
La 0.5000 0.0000 0.5000
Zr 0.0000 0.5000 0.5000

**D(E_F)**: 0.8427 states/eV/atom
**ΔE_f**: -0.23 eV/atom
**Theoretical density**: 7.289 g cm⁻³
**Total magnetic moment**: 0.2 μB per cell